(1)
# MgIn2Si2 PBE relaxed
data_MgIn2Si2
_space_group_name_H-M_alt 'P 1'
_space_group_IT_number 1
_space_group_name_Hall 'P 1'
_cell_length_a 7.043
_cell_length_b 7.043
_cell_length_c 7.043
_cell_angle_alpha 144.86
_cell_angle_beta 144.86
_cell_angle_gamma 50.54
loop_
_atom_site_label
_atom_site_fract_x
_atom_site_fract_y
_atom_site_fract_z
Mg1 0.000 0.000 0.000
In1 0.250 0.750 0.500
In2 0.750 0.250 0.500
Si1 0.409 0.409 0.000
Si2 0.591 0.591 0.000
# uncorrected formation energy	327.3	meV per atom


(2)
# Nd2PuH12Rh3 PBE relaxed
data_Nd2PuH12Rh3
_space_group_name_H-M_alt 'P 1'
_space_group_IT_number 1
_space_group_name_Hall 'P 1'
_cell_length_a 6.211
_cell_length_b 6.211
_cell_length_c 6.211
_cell_angle_alpha 63.11
_cell_angle_beta 63.11
_cell_angle_gamma 63.11
loop_
_atom_site_label
_atom_site_fract_x
_atom_site_fract_y
_atom_site_fract_z
Nd1 0.114 0.114 0.114
Nd2 0.886 0.886 0.886
Pu1 0.500 0.500 0.500
H1 0.071 0.637 0.637
H2 0.217 0.217 0.632
H3 0.217 0.632 0.217
H4 0.363 0.363 0.929
H5 0.363 0.929 0.363
H6 0.368 0.783 0.783
H7 0.632 0.217 0.217
H8 0.637 0.071 0.637
H9 0.637 0.637 0.071
H10 0.783 0.368 0.783
H11 0.783 0.783 0.368
H12 0.929 0.363 0.363
Rh1 0.000 0.500 0.500
Rh2 0.500 0.000 0.500
Rh3 0.500 0.500 0.000
# total DFT energy (no corrections)	-5.092	eV/atom


(3)
# Sm9Er4Mg11 PBE relaxed
data_Sm9Er4Mg11
_space_group_name_H-M_alt 'P 1'
_space_group_IT_number 1
_space_group_name_Hall 'P 1'
_cell_length_a 14.043
_cell_length_b 14.043
_cell_length_c 3.660
_cell_angle_alpha 90.00
_cell_angle_beta 90.00
_cell_angle_gamma 108.24
loop_
_atom_site_label
_atom_site_fract_x
_atom_site_fract_y
_atom_site_fract_z
Sm1 0.000 0.000 0.000
Sm2 0.122 0.652 0.000
Sm3 0.293 0.473 0.000
Sm4 0.348 0.878 0.000
Sm5 0.473 0.293 0.000
Sm6 0.527 0.707 0.000
Sm7 0.652 0.122 0.000
Sm8 0.707 0.527 0.000
Sm9 0.878 0.348 0.000
Er1 0.077 0.249 0.000
Er2 0.249 0.077 0.000
Er3 0.751 0.923 0.000
Er4 0.923 0.751 0.000
Mg1 0.088 0.445 0.500
Mg2 0.132 0.868 0.500
Mg3 0.274 0.274 0.500
Mg4 0.325 0.675 0.500
Mg5 0.445 0.088 0.500
Mg6 0.500 0.500 0.500
Mg7 0.555 0.912 0.500
Mg8 0.675 0.325 0.500
Mg9 0.726 0.726 0.500
Mg10 0.868 0.132 0.500
Mg11 0.912 0.555 0.500
# E_form	-0.034	eV per atom


| no. | DOS at the Fermi energy (states/eV/f.u.) |
| --- | --- |
| 1 | 1.955 |
| 2 | 17.783 |
| 3 | 28.402 |